# 1
{"formula": "Zr2CdAg", "functional": "PBE-GGA", "state": "optimized geometry", "lattice": [[-1.697, 2.214, -3.587], [1.049, -2.250, -1.886], [-4.688, -4.074, -0.296]], "species": ["Cd", "Ag", "Zr", "Zr"], "frac_coords": [[0.500, 0.558, 0.756], [0.000, 0.696, 0.487], [0.500, 0.302, 0.272], [0.000, 0.945, 0.985]], "delta_e_f_mev_per_atom": -11, "sg": "No. 6", "total_energy_ry_per_atom": -0.384}

***

# 2
{"formula": "Ac4Hg2F", "functional": "PBE-GGA", "state": "optimized geometry", "lattice": [[5.288, 0.000, 0.000], [0.000, 5.288, 0.000], [-2.644, -2.644, 8.605]], "species": ["Ac", "Ac", "Ac", "Ac", "Hg", "Hg", "F"], "frac_coords": [[0.191, 0.191, 0.382], [0.000, 0.500, 0.000], [0.500, 0.000, 0.000], [0.809, 0.809, 0.618], [0.375, 0.375, 0.750], [0.625, 0.625, 0.250], [0.000, 0.000, 0.000]], "e_form_raw_ev_per_atom": -0.86, "sg": "No. 139", "total_energy_ry_per_atom": -0.262}

***

# 3
{"formula": "Li3Cd5Hg", "functional": "PBE-GGA", "state": "optimized geometry", "lattice": [[-0.176, -5.589, -1.692], [8.034, -0.940, 2.269], [-6.132, -1.486, 5.546]], "species": ["Cd", "Cd", "Cd", "Cd", "Cd", "Cd", "Cd", "Cd", "Cd", "Cd", "Li", "Li", "Li", "Li", "Li", "Li", "Hg", "Hg"], "frac_coords": [[0.750, 0.354, 0.000], [0.000, 0.667, 0.334], [0.000, 0.333, 0.666], [0.500, 0.333, 0.666], [0.750, 0.000, 0.354], [0.250, 0.646, 0.000], [0.250, 0.000, 0.646], [0.750, 0.646, 0.646], [0.250, 0.354, 0.354], [0.500, 0.667, 0.334], [0.250, 0.691, 0.691], [0.250, 0.308, 0.000], [0.250, 0.000, 0.309], [0.750, 0.309, 0.309], [0.750, 0.692, 0.000], [0.750, 0.000, 0.691], [0.000, 0.000, 0.000], [0.500, 0.000, 0.000]], "delta_e_f_mev_per_atom": -186, "sg": "No. 193", "total_energy_ry_per_atom": -0.100}

***

# 4
{"formula": "PmLuFeCu", "functional": "PBE-GGA", "state": "optimized geometry", "lattice": [[-4.698, -0.134, -1.004], [-1.492, -1.464, -4.328], [-2.238, -4.228, -0.468]], "species": ["Lu", "Cu", "Fe", "Pm"], "frac_coords": [[0.250, 0.250, 0.250], [0.500, 0.500, 0.500], [0.000, 0.000, 0.000], [0.750, 0.750, 0.750]], "delta_e_f_mev_per_atom": 15, "sg": "No. 216", "total_energy_ry_per_atom": -0.400}